The following is a DFT calculation (PBE) of CrSbIr2 after structural relaxation.

**Formation energy from raw total energies**: 0.16 eV/atom

Unit cell a=2.9703 b=2.9703 c=7.3492 alpha=90.00 beta=90.00 gamma=90.00
Closest atoms and distances in Å follow each position.
Space group P4/mmm (No. 123)
Inequivalent atoms, fractional coordinates:
Cr 0.0000 0.0000 0.0000  8 Ir 2.61
Sb 0.0000 0.0000 0.5000  4 Sb 2.97, 8 Ir 2.99
Ir 0.5000 0.5000 0.2109  4 Cr 2.61

=====

The following is a DFT calculation (PBE) of LaFeIr4 after structural relaxation.

**DFT formation energy**: -0.09 eV per atom

Unit cell a=7.5346 b=7.5346 c=7.5346 alpha=90.00 beta=90.00 gamma=90.00
Closest atoms and distances in Å follow each position.
Space group F-43m (No. 216)
Inequivalent atoms, fractional coordinates:
La 0.0000 0.0000 0.0000  12 Ir 3.12, 4 Fe 3.26
Fe 0.2500 0.2500 0.7500  12 Ir 3.12, 4 La 3.26
Ir 0.1245 0.1245 0.3755  6 Ir 2.65-2.67

=====

Q: Number 1 is which compound?
A: CrSbIr2